(1)
Here is a geometry-optimized TbDy3Ho8 structure from the Alexandria database. Energies are from PBE.

Properties
- calculated formation energy (eV/atom) = 0.733

abc: 9.346 9.346 9.346
angles: 131.81 131.81 70.53
Fractional coordinates of all 12 atoms:
1 Tb 0.000 0.000 0.000
2 Dy 0.250 0.750 0.500
3 Dy 0.500 0.500 0.000
4 Dy 0.750 0.250 0.500
5 Ho 0.125 0.125 0.500
6 Ho 0.125 0.625 0.000
7 Ho 0.375 0.375 0.500
8 Ho 0.375 0.875 0.000
9 Ho 0.625 0.125 0.000
10 Ho 0.625 0.625 0.500
11 Ho 0.875 0.375 0.000
12 Ho 0.875 0.875 0.500

---

(2)
Here is a geometry-optimized Zr2AgAu structure from the Alexandria database. Energies are from PBE.

Properties
- calculated formation energy (eV/atom) = -0.201

abc: 10.080 3.165 5.242
angles: 90.00 103.96 90.00
Fractional coordinates of all 8 atoms:
1 Zr 0.000 0.000 0.000
2 Zr 0.243 0.000 0.684
3 Zr 0.500 0.500 0.000
4 Zr 0.743 0.500 0.684
5 Ag 0.487 0.000 0.485
6 Ag 0.987 0.500 0.485
7 Au 0.250 0.500 0.194
8 Au 0.750 0.000 0.194

---

(3)
Here is a geometry-optimized CaHfMn2 structure from the Alexandria database. Energies are from PBE.

Properties
- energy relative to the lowest polymorph listed for this composition (meV/atom) = 0
- calculated formation energy (eV/atom) = 0.440

abc: 6.770 6.770 6.770
angles: 90.00 90.00 90.00
Fractional coordinates of all 16 atoms:
1 Ca 0.000 0.000 0.000
2 Ca 0.000 0.500 0.500
3 Ca 0.500 0.000 0.500
4 Ca 0.500 0.500 0.000
5 Hf 0.000 0.000 0.500
6 Hf 0.000 0.500 0.000
7 Hf 0.500 0.000 0.000
8 Hf 0.500 0.500 0.500
9 Mn 0.250 0.250 0.250
10 Mn 0.250 0.250 0.750
11 Mn 0.250 0.750 0.250
12 Mn 0.250 0.750 0.750
13 Mn 0.750 0.250 0.250
14 Mn 0.750 0.250 0.750
15 Mn 0.750 0.750 0.250
16 Mn 0.750 0.750 0.750

---

(4)
Here is a geometry-optimized Mn2RuPt structure from the Alexandria database. Energies are from PBE.

Properties
- calculated formation energy (eV/atom) = -0.051

abc: 3.734 3.734 7.869
angles: 90.00 90.00 90.00
Fractional coordinates of all 8 atoms:
1 Mn 0.000 0.000 0.000
2 Mn 0.000 0.500 0.250
3 Mn 0.500 0.000 0.750
4 Mn 0.500 0.500 0.500
5 Ru 0.000 0.000 0.500
6 Ru 0.500 0.500 0.000
7 Pt 0.000 0.500 0.750
8 Pt 0.500 0.000 0.250

---

(5)
Here is a geometry-optimized HoErCuRu structure from the Alexandria database. Energies are from PBE.

Properties
- calculated formation energy (eV/atom) = -0.367

abc: 6.821 6.821 6.821
angles: 90.00 90.00 90.00
Fractional coordinates of all 16 atoms:
1 Ho 0.000 0.000 0.000
2 Ho 0.000 0.500 0.500
3 Ho 0.500 0.000 0.500
4 Ho 0.500 0.500 0.000
5 Er 0.000 0.000 0.500
6 Er 0.000 0.500 0.000
7 Er 0.500 0.000 0.000
8 Er 0.500 0.500 0.500
9 Cu 0.250 0.250 0.750
10 Cu 0.250 0.750 0.250
11 Cu 0.750 0.250 0.250
12 Cu 0.750 0.750 0.750
13 Ru 0.250 0.250 0.250
14 Ru 0.250 0.750 0.750
15 Ru 0.750 0.250 0.750
16 Ru 0.750 0.750 0.250

---

(6)
Here is a geometry-optimized Nd5S9 structure from the Alexandria database. Energies are from PBE.

Properties
- raw formation energy (meV/atom) = -1809

abc: 12.121 12.121 9.946
angles: 97.89 97.89 26.38
Fractional coordinates of all 28 atoms:
1 Nd 0.007 0.007 0.236
2 Nd 0.200 0.199 0.154
3 Nd 0.221 0.186 0.627
4 Nd 0.394 0.416 0.042
5 Nd 0.400 0.393 0.574
6 Nd 0.584 0.606 0.958
7 Nd 0.607 0.600 0.426
8 Nd 0.801 0.800 0.846
9 Nd 0.814 0.779 0.373
10 Nd 0.993 0.993 0.764
11 S 0.034 0.576 0.111
12 S 0.069 0.083 0.013
13 S 0.126 0.124 0.373
14 S 0.165 0.660 0.328
15 S 0.252 0.748 0.500
16 S 0.297 0.264 0.422
17 S 0.323 0.322 0.787
18 S 0.340 0.835 0.672
19 S 0.424 0.966 0.889
20 S 0.477 0.476 0.823
21 S 0.524 0.523 0.177
22 S 0.583 0.039 0.126
23 S 0.678 0.677 0.213
24 S 0.736 0.703 0.578
25 S 0.753 0.247 0.500
26 S 0.876 0.874 0.627
27 S 0.917 0.931 0.987
28 S 0.961 0.417 0.874